[1]
VASP calculation (PBE) on crystalline Tl2SiTe at its relaxed geometry.

Geometry as POSCAR:
```
Tl2SiTe
1.0
-2.5457 3.1869 -6.3841
-4.1026 -0.3144 -6.3611
-4.0287 1.7975 0.9037
Te Tl Si
1 2 1
Cartesian
-2.6693 1.1675 -2.9604
-5.1498 2.2575 -4.9344
-4.2175 1.8749 -0.0828
-8.0078 3.5025 -8.8812
```

Properties
SG ... No. 12
E_form (uncorrected) ... 177 meV/atom
VASP energy ... -0.2313 Ry per atom
Total magnetization ... 0.00 μB per cell

=====

[2]
VASP calculation (PBE) on crystalline TlSi2Te at its relaxed geometry.

Geometry as POSCAR:
```
TlSi2Te
1.0
6.3652 0.0907 0.0000
3.6323 5.2278 0.0000
-4.9988 -2.6593 2.9094
Tl Te Si
1 1 2
Cartesian
3.1826 0.0454 1.4547
4.9988 2.6593 0.0000
0.0000 0.0000 0.0000
1.8162 2.6139 1.4547
```

Properties
SG ... No. 119
E_form (uncorrected) ... 616 meV/atom
VASP energy ... -0.2552 Ry per atom
Total magnetization ... 0.00 μB per cell

=====

[3]
VASP calculation (PBE) on crystalline TlSiTe2 at its relaxed geometry.

Geometry as POSCAR:
```
TlSiTe2
1.0
-4.3298 4.0045 -2.1765
-5.1843 3.2841 1.3630
0.6086 6.1140 1.3912
Si Te Tl
1 2 1
Cartesian
-6.2896 10.8283 0.6853
-2.4980 3.0101 0.0096
-0.0141 5.9650 1.2106
-3.9478 6.4145 0.3524
```

Properties
SG ... No. 8
E_form (uncorrected) ... 110 meV/atom
VASP energy ... -0.2505 Ry per atom
Total magnetization ... 0.00 μB per cell

=====

[4]
VASP calculation (PBE) on crystalline Tl2SiTe at its relaxed geometry.

Geometry as POSCAR:
```
Tl2SiTe
1.0
6.2117 -0.0064 0.2777
5.0851 3.5674 0.2777
2.9439 0.9280 5.4906
Si Te Tl
1 1 2
Cartesian
7.0753 2.2303 2.2045
3.1992 1.0085 2.2224
11.2551 3.5479 4.5678
11.1284 3.5079 0.6299
```

Properties
SG ... No. 8
E_form (uncorrected) ... 129 meV/atom
VASP energy ... -0.2349 Ry per atom
Total magnetization ... 0.00 μB per cell

=====

[5]
VASP calculation (PBE) on crystalline Tl4SiTe5 at its relaxed geometry.

Geometry as POSCAR:
```
Tl4SiTe5
1.0
-2.9655 -1.5160 -5.8725
-7.0672 -3.1822 0.5095
-4.3652 5.6132 -3.1254
Si Te Tl
1 5 4
Cartesian
-0.2458 -0.1256 -0.4867
-9.5473 0.5867 -3.0225
-1.3721 -0.7014 -2.7173
-4.7977 0.3554 -5.3612
-8.8172 2.2924 -7.7122
-5.5278 -1.3504 -0.6715
-10.4545 -0.2602 -6.2963
-7.0356 -1.4732 -3.8290
-7.3627 2.3879 -4.6605
-3.9438 1.1750 -2.1932
```

Properties
SG ... No. 79
E_form (uncorrected) ... -120 meV/atom
VASP energy ... -0.2337 Ry per atom
Total magnetization ... 0.00 μB per cell

=====

[6]
VASP calculation (PBE) on crystalline Tl3SiTe at its relaxed geometry.

Geometry as POSCAR:
```
Tl3SiTe
1.0
-1.8155 -4.5540 2.3239
4.4289 -0.1688 3.1293
-2.5543 2.9442 3.7740
Te Tl Si
1 3 1
Cartesian
0.0295 -0.8893 4.6136
2.2144 -0.0844 1.5646
-0.9078 -2.2770 1.1620
-1.2772 1.4721 1.8870
0.0000 0.0000 0.0000
```

Properties
SG ... No. 221
E_form (uncorrected) ... 170 meV/atom
VASP energy ... -0.2177 Ry per atom
Total magnetization ... 0.00 μB per cell

=====

Question: Number 5 is which compound?
Answer: Tl4SiTe5

=====

Question: The highest E_form (uncorrected) belongs to which entry?
Answer: TlSi2Te